{
  "formula": "Cs3Li2MnF9",
  "functional": "PBE with a Hubbard U",
  "state": "relaxed",
  "cell": [[6.246, 0.000, 0.000], [-3.123, 5.409, 0.000], [0.000, 0.000, 8.220]],
  "species": ["Cs", "Cs", "Cs", "Li", "Li", "Mn", "F", "F", "F", "F", "F", "F", "F", "F", "F"],
  "fractional_positions": [[0.333, 0.667, 0.670], [0.000, 0.000, 0.000], [0.667, 0.333, 0.330], [0.333, 0.667, 0.058], [0.667, 0.333, 0.942], [0.000, 0.000, 0.500], [0.860, 0.140, 0.630], [0.860, 0.720, 0.630], [0.280, 0.140, 0.630], [0.720, 0.860, 0.370], [0.140, 0.280, 0.370], [0.140, 0.860, 0.370], [0.500, 0.000, 0.000], [0.000, 0.500, 0.000], [0.500, 0.500, 0.000]],
  "vol_a3_per_cell": 277.7,
  "total_energy_ev_per_cell": -71.07,
  "m_tot_mub_per_fu": 3.12,
  "sg": "P-3m1",
  "rho_g_cm3": 3.8,
  "n_ef_per_ev_cell": 0.0
}